P:
# Pr2ErPd GGA-PBE optimized geometry
data_Pr2ErPd
_cell_length_a 3.7358
_cell_length_b 3.7358
_cell_length_c 8.3459
_cell_angle_alpha 90.00
_cell_angle_beta 90.00
_cell_angle_gamma 90.00
_symmetry_space_group_name_H-M 'P 4/m m m'
_symmetry_Int_Tables_number 123
_symmetry_space_group_name_Hall '-P 4 2'
loop_
_atom_site_label
_atom_site_type_symbol
_atom_site_fract_x
_atom_site_fract_y
_atom_site_fract_z
Pr1 Pr 0.0000 0.0000 0.2075
Er1 Er 0.5000 0.5000 0.5000
Pd1 Pd 0.5000 0.5000 0.0000
# Fermi-level density of states ... 5.25 states/eV per cell
# Total moment ... 0.00 μB per formula unit


Q:
# Pr2ErPd GGA-PBE optimized geometry
data_Pr2ErPd
_cell_length_a 3.6889
_cell_length_b 3.6889
_cell_length_c 32.5796
_cell_angle_alpha 90.00
_cell_angle_beta 90.00
_cell_angle_gamma 120.00
_symmetry_space_group_name_H-M 'R -3 m'
_symmetry_Int_Tables_number 166
_symmetry_space_group_name_Hall '-R 3 2"'
loop_
_atom_site_label
_atom_site_type_symbol
_atom_site_fract_x
_atom_site_fract_y
_atom_site_fract_z
Pr1 Pr 0.0000 0.0000 0.1049
Er1 Er 0.0000 0.0000 0.0000
Pd1 Pd 0.0000 0.0000 0.5000
# Fermi-level density of states ... 15.28 states/eV per cell
# Total moment ... 0.00 μB per formula unit


Stability, descending: P, Q


P:
# PrEr3Pd GGA-PBE optimized geometry
data_PrEr3Pd
_cell_length_a 11.6249
_cell_length_b 8.3506
_cell_length_c 7.8238
_cell_angle_alpha 90.00
_cell_angle_beta 126.95
_cell_angle_gamma 90.00
_symmetry_space_group_name_H-M 'C 1 2/m 1'
_symmetry_Int_Tables_number 12
loop_
_symmetry_equiv_pos_as_xyz
'x,y,z'
'-x,-y,-z'
'-x,y,-z'
'x,-y,z'
'x+1/2,y+1/2,z'
'-x+1/2,-y+1/2,-z'
'-x+1/2,y+1/2,-z'
'x+1/2,-y+1/2,z'
loop_
_atom_site_label
_atom_site_type_symbol
_atom_site_fract_x
_atom_site_fract_y
_atom_site_fract_z
Pr1 Pr 0.0437 0.0000 0.3066
Er1 Er 0.0745 0.5000 0.2719
Er2 Er 0.1977 0.2983 0.7337
Pd1 Pd 0.2217 0.5000 0.0692
# Fermi-level density of states ... 26.85 states/eV per cell
# Total moment ... 0.01 μB per formula unit


Q:
# PrEr3Pd GGA-PBE optimized geometry
data_PrEr3Pd
_cell_length_a 5.4392
_cell_length_b 5.4392
_cell_length_c 5.4392
_cell_angle_alpha 90.00
_cell_angle_beta 90.00
_cell_angle_gamma 90.00
_symmetry_space_group_name_H-M 'P m -3 m'
_symmetry_Int_Tables_number 221
_symmetry_space_group_name_Hall '-P 4 2 3'
loop_
_atom_site_label
_atom_site_type_symbol
_atom_site_fract_x
_atom_site_fract_y
_atom_site_fract_z
Pr1 Pr 0.0000 0.0000 0.0000
Er1 Er 0.0000 0.5000 0.5000
Pd1 Pd 0.5000 0.5000 0.5000
# Fermi-level density of states ... 8.05 states/eV per cell
# Total moment ... 0.00 μB per formula unit


Stability, descending: P, Q


P:
# PrErPdPt GGA-PBE optimized geometry
data_PrErPdPt
_cell_length_a 7.1202
_cell_length_b 7.1202
_cell_length_c 7.1202
_cell_angle_alpha 90.00
_cell_angle_beta 90.00
_cell_angle_gamma 90.00
_symmetry_space_group_name_H-M 'F -4 3 m'
_symmetry_Int_Tables_number 216
_symmetry_space_group_name_Hall 'F -4 2 3'
loop_
_atom_site_label
_atom_site_type_symbol
_atom_site_fract_x
_atom_site_fract_y
_atom_site_fract_z
Pr1 Pr 0.0000 0.0000 0.0000
Er1 Er 0.0000 0.0000 0.5000
Pd1 Pd 0.2500 0.2500 0.2500
Pt1 Pt 0.2500 0.2500 0.7500
# Fermi-level density of states ... 13.90 states/eV per cell
# Total moment ... 0.00 μB per formula unit


Q:
# PrErPdPt GGA-PBE optimized geometry
data_PrErPdPt
_cell_length_a 4.5370
_cell_length_b 3.8257
_cell_length_c 10.7771
_cell_angle_alpha 90.00
_cell_angle_beta 90.00
_cell_angle_gamma 90.00
_symmetry_space_group_name_H-M 'A m m 2'
_symmetry_Int_Tables_number 38
loop_
_symmetry_equiv_pos_as_xyz
'x,y,z'
'-x,-y,z'
'-x,y,z'
'x,-y,z'
'x,y+1/2,z+1/2'
'-x,-y+1/2,z+1/2'
'-x,y+1/2,z+1/2'
'x,-y+1/2,z+1/2'
loop_
_atom_site_label
_atom_site_type_symbol
_atom_site_fract_x
_atom_site_fract_y
_atom_site_fract_z
Pr1 Pr 0.0000 0.0000 0.0000
Er1 Er 0.5000 0.0000 0.7261
Pd1 Pd 0.5000 0.0000 0.4457
Pt1 Pt 0.0000 0.0000 0.2726
# Fermi-level density of states ... 4.80 states/eV per cell
# Total moment ... 0.00 μB per formula unit


Stability, descending: Q, P


P:
# PrErZnPd GGA-PBE optimized geometry
data_PrErZnPd
_cell_length_a 7.2012
_cell_length_b 7.2012
_cell_length_c 7.2012
_cell_angle_alpha 90.00
_cell_angle_beta 90.00
_cell_angle_gamma 90.00
_symmetry_space_group_name_H-M 'F -4 3 m'
_symmetry_Int_Tables_number 216
_symmetry_space_group_name_Hall 'F -4 2 3'
loop_
_atom_site_label
_atom_site_type_symbol
_atom_site_fract_x
_atom_site_fract_y
_atom_site_fract_z
Pr1 Pr 0.0000 0.0000 0.0000
Er1 Er 0.0000 0.0000 0.5000
Zn1 Zn 0.2500 0.2500 0.2500
Pd1 Pd 0.2500 0.2500 0.7500
# Fermi-level density of states ... 12.91 states/eV per cell
# Total moment ... 0.00 μB per formula unit


Q:
# PrErZnPd GGA-PBE optimized geometry
data_PrErZnPd
_cell_length_a 3.6087
_cell_length_b 3.6087
_cell_length_c 7.1289
_cell_angle_alpha 90.00
_cell_angle_beta 90.00
_cell_angle_gamma 90.00
_symmetry_space_group_name_H-M 'P 4 m m'
_symmetry_Int_Tables_number 99
loop_
_symmetry_equiv_pos_as_xyz
'x,y,z'
'-y,x,z'
'-x,-y,z'
'y,-x,z'
'-x,y,z'
'y,x,z'
'x,-y,z'
'-y,-x,z'
loop_
_atom_site_label
_atom_site_type_symbol
_atom_site_fract_x
_atom_site_fract_y
_atom_site_fract_z
Pr1 Pr 0.0000 0.0000 0.0000
Er1 Er 0.0000 0.0000 0.4902
Zn1 Zn 0.5000 0.5000 0.7239
Pd1 Pd 0.5000 0.5000 0.2810
# Fermi-level density of states ... 3.59 states/eV per cell
# Total moment ... 0.00 μB per formula unit


Stability, descending: Q, P